First-principles (PBE) data for a geometry-optimized PmCo4Si2 structure, as listed in Alexandria.

Geometry as POSCAR:
```
PmCo4Si2
1.0
3.615 0.000 0.000
0.000 7.241 0.000
0.000 0.000 7.241
Pm Co Si
2 8 4
Direct
0.500 0.000 0.000
0.000 0.500 0.500
0.000 0.079 0.349
0.000 0.921 0.651
0.500 0.151 0.579
0.500 0.849 0.421
0.500 0.421 0.849
0.500 0.579 0.151
0.000 0.349 0.079
0.000 0.651 0.921
0.000 0.225 0.775
0.000 0.775 0.225
0.500 0.725 0.725
0.500 0.275 0.275
```

Summary:
Space-group type: No. 136
N(E_F), states/eV per cell: 11.14
Raw formation energy, eV per formula unit: -3.426
Polymorph energy (0 for the lowest one), eV per atom: 0.000
Total moment, μB per formula unit: 0.00
Density, Mg/m³: 7.7